1.
Computed, not measured: a relaxed structure of Tl2BiPt at the PBE-GGA level of DFT.

Cell: 5.225 5.225 5.225 Å, 60.00 60.00 60.00°
Fractional positions:
Tl1 0.250 0.250 0.250
Tl2 0.750 0.750 0.750
Bi1 0.500 0.500 0.500
Pt1 0.000 0.000 0.000

Space-group type: Fm-3m
Energy relative to the lowest polymorph listed for this composition in kJ/mol of atoms: 14.44
Energy of formation from the pure elements in meV per atom: 254
Total magnetization in μB/f.u.: 0.00
ρ in Mg/m³: 13.4


2.
Computed, not measured: a relaxed structure of TlBiPt2 at the PBE-GGA level of DFT.

Cell: 4.567 4.567 9.538 Å, 76.15 76.15 90.00°
Fractional positions:
Tl1 0.500 0.500 0.000
Tl2 0.250 0.750 0.500
Bi1 0.000 0.000 0.000
Bi2 0.750 0.250 0.500
Pt1 0.637 0.125 0.250
Pt2 0.113 0.625 0.250
Pt3 0.375 0.363 0.750
Pt4 0.875 0.887 0.750

Space-group type: I-42d
Energy of formation from the pure elements in meV per atom: 168
Total magnetization in μB/f.u.: 0.00
ρ in Mg/m³: 14.3


3.
Computed, not measured: a relaxed structure of Tl2BiPt at the PBE-GGA level of DFT.

Cell: 4.303 4.303 11.834 Å, 79.53 79.53 90.00°
Fractional positions:
Tl1 0.614 0.125 0.250
Tl2 0.136 0.625 0.250
Tl3 0.375 0.386 0.750
Tl4 0.875 0.864 0.750
Bi1 0.000 0.000 0.000
Bi2 0.750 0.250 0.500
Pt1 0.500 0.500 0.000
Pt2 0.250 0.750 0.500

Space-group type: I-42d
Energy relative to the lowest polymorph listed for this composition in kJ/mol of atoms: 5.06
Energy of formation from the pure elements in meV per atom: 157
Total magnetization in μB/f.u.: 0.00
ρ in Mg/m³: 12.7


4.
Computed, not measured: a relaxed structure of TlBi2Pt at the PBE-GGA level of DFT.

Cell: 3.489 3.489 8.827 Å, 90.00 90.00 90.00°
Fractional positions:
Tl1 0.500 0.500 0.500
Bi1 0.000 0.000 0.805
Bi2 0.000 0.000 0.195
Pt1 0.500 0.500 0.000

Space-group type: P4/mmm
Energy relative to the lowest polymorph listed for this composition in kJ/mol of atoms: 7.30
Energy of formation from the pure elements in meV per atom: -91
Total magnetization in μB/f.u.: 0.00
ρ in Mg/m³: 12.6


5.
Computed, not measured: a relaxed structure of TlBi2Pt2 at the PBE-GGA level of DFT.

Cell: 4.831 4.831 6.871 Å, 69.42 69.42 90.00°
Fractional positions:
Tl1 0.000 0.000 0.000
Bi1 0.360 0.360 0.280
Bi2 0.640 0.640 0.720
Pt1 0.750 0.250 0.500
Pt2 0.250 0.750 0.500

Space-group type: I4/mmm
Energy relative to the lowest polymorph listed for this composition in kJ/mol of atoms: 11.53
Energy of formation from the pure elements in meV per atom: -58
Total magnetization in μB/f.u.: 0.00
ρ in Mg/m³: 12.1


6.
Computed, not measured: a relaxed structure of Tm2BiPt at the PBE-GGA level of DFT.

Cell: 4.271 4.271 7.254 Å, 72.88 72.88 60.00°
Fractional positions:
Tm1 0.262 0.262 0.213
Tm2 0.738 0.738 0.787
Bi1 0.500 0.500 0.500
Pt1 0.000 0.000 0.000

Space-group type: R-3m
Energy of formation from the pure elements in meV per atom: -886
Total magnetization in μB/f.u.: 0.00
ρ in Mg/m³: 11.4


7.
Computed, not measured: a relaxed structure of Tm6Bi2Pt at the PBE-GGA level of DFT.

Cell: 6.420 7.860 10.244 Å, 90.00 92.00 90.00°
Fractional positions:
Tm1 0.862 0.976 0.245
Tm2 0.867 0.672 0.541
Tm3 0.866 0.697 0.962
Tm4 0.634 0.197 0.538
Tm5 0.633 0.172 0.959
Tm6 0.638 0.476 0.255
Tm7 0.138 0.024 0.755
Tm8 0.133 0.328 0.459
Tm9 0.134 0.303 0.038
Tm10 0.366 0.803 0.462
Tm11 0.367 0.828 0.041
Tm12 0.362 0.524 0.745
Bi1 0.898 0.385 0.757
Bi2 0.602 0.885 0.743
Bi3 0.398 0.115 0.257
Bi4 0.102 0.615 0.243
Pt1 0.500 0.500 0.000
Pt2 0.000 0.000 0.500

Space-group type: P2_1/c
Energy of formation from the pure elements in meV per atom: -585
Total magnetization in μB/f.u.: 0.00
ρ in Mg/m³: 10.5


8.
Computed, not measured: a relaxed structure of TmBiPt at the PBE-GGA level of DFT.

Cell: 3.515 3.515 6.432 Å, 105.85 105.85 90.00°
Fractional positions:
Tm1 0.315 0.315 0.630
Bi1 0.605 0.605 0.210
Pt1 0.930 0.930 0.860

Space-group type: I4mm
Energy of formation from the pure elements in meV per atom: -729
Total magnetization in μB/f.u.: 0.00
ρ in Mg/m³: 13.0


9.
Computed, not measured: a relaxed structure of Tm2BiPt at the PBE-GGA level of DFT.

Cell: 3.539 3.539 7.903 Å, 90.00 90.00 90.00°
Fractional positions:
Tm1 0.000 0.000 0.793
Tm2 0.000 0.000 0.207
Bi1 0.500 0.500 0.500
Pt1 0.500 0.500 0.000

Space-group type: P4/mmm
Energy of formation from the pure elements in meV per atom: -886
Total magnetization in μB/f.u.: 0.00
ρ in Mg/m³: 12.4


10.
Computed, not measured: a relaxed structure of Tm5Bi2Pt at the PBE-GGA level of DFT.

Cell: 5.443 8.359 13.619 Å, 90.00 90.00 109.00°
Fractional positions:
Tm1 0.921 0.842 0.884
Tm2 0.921 0.842 0.616
Tm3 0.293 0.587 0.433
Tm4 0.293 0.587 0.067
Tm5 0.721 0.442 0.250
Tm6 0.279 0.558 0.750
Tm7 0.707 0.413 0.567
Tm8 0.707 0.413 0.933
Tm9 0.079 0.158 0.116
Tm10 0.079 0.158 0.384
Bi1 0.882 0.763 0.396
Bi2 0.882 0.763 0.104
Bi3 0.118 0.237 0.604
Bi4 0.118 0.237 0.896
Pt1 0.795 0.590 0.750
Pt2 0.205 0.410 0.250

Space-group type: Cmcm
Energy relative to the lowest polymorph listed for this composition in kJ/mol of atoms: 39.59
Energy of formation from the pure elements in meV per atom: -354
Total magnetization in μB/f.u.: 0.01
ρ in Mg/m³: 8.3


11.
Computed, not measured: a relaxed structure of TmBiPt2 at the PBE-GGA level of DFT.

Cell: 3.716 4.741 4.741 Å, 90.00 90.00 90.00°
Fractional positions:
Tm1 0.500 0.000 0.000
Bi1 0.500 0.500 0.500
Pt1 0.000 0.000 0.500
Pt2 0.000 0.500 0.000

Space-group type: P4/mmm
Energy of formation from the pure elements in meV per atom: -718
Total magnetization in μB/f.u.: 0.00
ρ in Mg/m³: 15.3


12.
Computed, not measured: a relaxed structure of TmBiPt2 at the PBE-GGA level of DFT.

Cell: 3.614 3.614 6.485 Å, 90.00 90.00 90.00°
Fractional positions:
Tm1 0.500 0.500 0.000
Bi1 0.500 0.500 0.500
Pt1 0.000 0.000 0.779
Pt2 0.000 0.000 0.221

Space-group type: P4/mmm
Energy of formation from the pure elements in meV per atom: -775
Total magnetization in μB/f.u.: 0.00
ρ in Mg/m³: 15.1


Question: Which formula does entry 10 have?
Answer: Tm5Bi2Pt